--- one ---
## Mn2TcW (GGA-PBEsol)

Data for crystalline Mn2TcW at its relaxed geometry.

The structure belongs to space group P2/m (No. 10); the cell edges are 2.612, 4.030 and 5.092 Å and the angles 90.00°, 102.70° and 90.00°. The inequivalent atoms are Mn at (0.240, 0.000, 0.246), Tc at (0.500, 0.500, 0.000) and W at (0.000, 0.500, 0.500).

***

--- two ---
## Mn2TcW (GGA-PBEsol)

Data for crystalline Mn2TcW at its relaxed geometry.

The structure belongs to space group P4/mmm (No. 123); the cell edges are 4.052, 4.052 and 3.148 Å and the angles 90.00°, 90.00° and 90.00°. The inequivalent atoms are Mn at (0.000, 0.500, 0.000), Tc at (0.000, 0.000, 0.500) and W at (0.500, 0.500, 0.500).

***

Tell me which of them is the least stable. Sure, it is two.

***

--- one ---
## MnTcW2 (GGA-PBEsol)

Data for crystalline MnTcW2 at its relaxed geometry.

The structure belongs to space group Cmm2 (No. 35); the cell edges are 3.133, 4.320 and 8.414 Å and the angles 90.00°, 90.00° and 90.00°. The inequivalent atoms are Mn at (0.000, 0.000, 0.000), Tc at (0.000, 0.500, 0.771), W at (0.000, 0.000, 0.510) and W at (0.000, 0.500, 0.241).

***

--- two ---
## MnTcW2 (GGA-PBEsol)

Data for crystalline MnTcW2 at its relaxed geometry.

The structure belongs to space group Fm-3m (No. 225); the cell edges are 6.081, 6.081 and 6.081 Å and the angles 90.00°, 90.00° and 90.00°. The inequivalent atoms are Mn at (0.000, 0.000, 0.000), Tc at (0.000, 0.000, 0.500) and W at (0.250, 0.250, 0.250).

***

Tell me which of them is the least stable. Sure, it is two.